Record 1
Computed, not measured: an optimized crystal structure of Y4Pb5 at the PBE-GGA level of DFT.

The structure belongs to space group I4/mmm (No. 139); the cell edges are 10.787, 10.787 and 4.544 Å and the angles 90.00°, 90.00° and 90.00°. The asymmetric unit holds Y at (0.000, 0.308, 0.000), Pb at (0.000, 0.000, 0.000) and Pb at (0.175, 0.175, 0.500).

Its polymorph energy (0 for the lowest one) is 48 meV/atom. The calculation puts the formation energy at -0.383 eV/atom. The spin magnetization is 0.00 μB/atom.

Record 2
Computed, not measured: an optimized crystal structure of KSc2Tl at the PBE-GGA level of DFT.

The structure belongs to space group C2/m (No. 12); the cell edges are 6.713, 11.574 and 3.299 Å and the angles 90.00°, 116.57° and 90.00°. The asymmetric unit holds K at (0.000, 0.000, 0.000), Sc at (0.250, 0.250, 0.500) and Tl at (0.000, 0.500, 0.000).

Its polymorph energy (0 for the lowest one) is 267 meV/atom. The calculation puts the formation energy at 0.369 eV/atom. The spin magnetization is 0.00 μB/atom.

Record 3
Computed, not measured: an optimized crystal structure of Ce6HIr2I3 at the PBE-GGA level of DFT.

The structure belongs to space group C2/m (No. 12); the cell edges are 7.039, 12.190 and 8.328 Å and the angles 90.00°, 106.39° and 90.00°. The asymmetric unit holds Ce at (0.225, 0.162, 0.187), Ce at (0.238, 0.500, 0.189), H at (0.000, 0.000, 0.000), Ir at (0.000, 0.334, 0.000), I at (0.000, 0.170, 0.500) and I at (0.000, 0.500, 0.500).

Its total energy is -5.87 eV per atom. The spin magnetization is 0.62 μB/atom.

Record 4
Computed, not measured: an optimized crystal structure of Li3Sc at the PBE-GGA level of DFT.

The structure belongs to space group P2/m (No. 10); the cell edges are 2.984, 5.018 and 5.637 Å and the angles 90.00°, 96.93° and 90.00°. The asymmetric unit holds Li at (0.000, 0.000, 0.000), Li at (0.183, 0.500, 0.759) and Sc at (0.500, 0.000, 0.500).

Its polymorph energy (0 for the lowest one) is 68 meV/atom. The calculation puts the formation energy at 0.173 eV/atom. The spin magnetization is 0.00 μB/atom.

Record 5
Computed, not measured: an optimized crystal structure of Sc2CoAgCl at the PBE-GGA level of DFT.

The structure belongs to space group P4/mmm (No. 123); the cell edges are 4.706, 4.706 and 4.670 Å and the angles 90.00°, 90.00° and 90.00°. The asymmetric unit holds Sc at (0.000, 0.500, 0.000), Co at (0.000, 0.000, 0.500), Ag at (0.500, 0.500, 0.500) and Cl at (0.500, 0.500, 0.000).

Its raw formation energy is 0.39 eV per atom. The spin magnetization is 0.00 μB/atom.

Record 6
Computed, not measured: an optimized crystal structure of Cs2AgSn2F7 at the PBE-GGA level of DFT.

The structure belongs to space group C2/m (No. 12); the cell edges are 6.171, 7.153 and 12.317 Å and the angles 90.00°, 99.38° and 90.00°. The asymmetric unit holds Cs at (0.199, 0.000, 0.372), Ag at (0.000, 0.000, 0.000), Sn at (0.108, 0.500, 0.180), F at (0.000, 0.500, 0.000), F at (0.129, 0.186, 0.848) and F at (0.234, 0.500, 0.389).

Its raw formation energy is -2.17 eV per atom. The spin magnetization is 0.00 μB/atom.

Record 7
Computed, not measured: an optimized crystal structure of Sr2AcGaTe4 at the PBE-GGA level of DFT.

The structure belongs to space group P2/m (No. 10); the cell edges are 8.144, 4.755 and 8.207 Å and the angles 90.00°, 108.99° and 90.00°. The asymmetric unit holds Sr at (0.000, 0.000, 0.000), Sr at (0.000, 0.500, 0.500), Ac at (0.500, 0.000, 0.500), Ga at (0.500, 0.500, 0.000), Te at (0.252, 0.000, 0.749) and Te at (0.255, 0.500, 0.249).

Its raw formation energy is -1.36 eV per atom. The spin magnetization is 0.00 μB/atom.

Record 8
Computed, not measured: an optimized crystal structure of Sc3HAu2 at the PBE-GGA level of DFT.

The structure belongs to space group C2/c (No. 15); the cell edges are 10.527, 6.159 and 7.010 Å and the angles 90.00°, 109.05° and 90.00°. The asymmetric unit holds Sc at (0.000, 0.088, 0.250), Sc at (0.129, 0.414, 0.963), H at (0.000, 0.411, 0.250) and Au at (0.181, 0.185, 0.649).

Its total energy is -5.45 eV per atom. The spin magnetization is 0.00 μB/atom.